Record 1
First-principles (PBE-GGA) data for an optimized crystal structure of LiDy6Al2, as listed in the Alexandria database.

Computed properties:
Total energy = -3.959 eV per atom
Space-group type = Immm
Magnetization = 0.0 μB per cell

Cell lengths 4.983, 7.239, 8.740 Å; angles 114.47, 106.60, 90.00 degrees
Fractional positions:
Li: 0.000 0.000 0.000
Dy: 0.167 0.419 0.336
Dy: 0.833 0.084 0.664
Dy: 0.833 0.581 0.664
Dy: 0.500 0.257 0.000
Dy: 0.167 0.916 0.336
Dy: 0.500 0.743 0.000
Al: 0.667 0.667 0.334
Al: 0.333 0.333 0.666

Record 2
First-principles (PBE-GGA) data for an optimized crystal structure of LiDyAl, as listed in the Alexandria database.

Computed properties:
Distance to the lowest polymorph of the same formula = 0.000 eV per atom
Total energy = -3.624 eV per atom
Space-group type = P-6m2
Magnetization = 0.0 μB per cell

Cell lengths 3.224, 4.838, 4.838 Å; angles 120.00, 90.00, 90.00 degrees
Fractional positions:
Li: 0.167 0.667 0.333
Al: 0.166 0.000 0.000
Dy: 0.667 0.333 0.667

Record 3
First-principles (PBE-GGA) data for an optimized crystal structure of LiDyAl, as listed in the Alexandria database.

Computed properties:
Distance to the lowest polymorph of the same formula = 0.186 eV per atom
Total energy = -3.437 eV per atom
Space-group type = R-3m
Magnetization = 0.0 μB per cell

Cell lengths 4.227, 4.227, 9.264 Å; angles 76.81, 76.81, 60.00 degrees
Fractional positions:
Dy: 0.284 0.284 0.149
Dy: 0.716 0.716 0.851
Li: 0.155 0.155 0.534
Li: 0.845 0.845 0.466
Al: 0.451 0.451 0.648
Al: 0.549 0.549 0.352

Record 4
First-principles (PBE-GGA) data for an optimized crystal structure of Li2Dy3Al4, as listed in the Alexandria database.

Computed properties:
Total energy = -3.943 eV per atom
Space-group type = C2/m
Magnetization = 0.0 μB per cell

Cell lengths 4.675, 5.819, 8.801 Å; angles 115.20, 90.00, 113.68 degrees
Fractional positions:
Li: 0.592 0.185 0.262
Li: 0.408 0.815 0.738
Dy: 0.674 0.347 0.657
Dy: 0.000 0.000 0.000
Dy: 0.326 0.653 0.343
Al: 0.740 0.479 0.073
Al: 0.260 0.521 0.927
Al: 0.968 0.936 0.629
Al: 0.032 0.064 0.371

Record 5
First-principles (PBE-GGA) data for an optimized crystal structure of LiDyAl2, as listed in the Alexandria database.

Computed properties:
Distance to the lowest polymorph of the same formula = 0.284 eV per atom
Total energy = -3.479 eV per atom
Space-group type = R-3m
Magnetization = 0.0 μB per cell

Cell lengths 3.125, 3.125, 10.101 Å; angles 81.10, 81.10, 60.00 degrees
Fractional positions:
Li: 0.000 0.000 0.000
Al: 0.745 0.745 0.766
Al: 0.255 0.255 0.234
Dy: 0.500 0.500 0.500

Record 6
First-principles (PBE-GGA) data for an optimized crystal structure of LiDyAl2, as listed in the Alexandria database.

Computed properties:
Distance to the lowest polymorph of the same formula = 0.014 eV per atom
Total energy = -3.749 eV per atom
Space-group type = P4/mmm
Magnetization = 0.0 μB per cell

Cell lengths 4.193, 4.410, 4.410 Å; angles 90.00, 90.00, 90.00 degrees
Fractional positions:
Li: 0.500 0.500 0.500
Al: 0.000 0.000 0.500
Al: 0.000 0.500 0.000
Dy: 0.500 0.000 0.000

Record 7
First-principles (PBE-GGA) data for an optimized crystal structure of LiDy3Al2, as listed in the Alexandria database.

Computed properties:
Distance to the lowest polymorph of the same formula = 0.025 eV per atom
Total energy = -4.124 eV per atom
Space-group type = P4/mmm
Magnetization = 0.0 μB per cell

Cell lengths 3.580, 3.580, 11.254 Å; angles 90.00, 90.00, 90.00 degrees
Fractional positions:
Li: 0.500 0.500 0.500
Dy: 0.000 0.000 0.000
Dy: 0.000 0.000 0.680
Dy: 0.000 0.000 0.320
Al: 0.500 0.500 0.835
Al: 0.500 0.500 0.165

Record 8
First-principles (PBE-GGA) data for an optimized crystal structure of LiDyAl, as listed in the Alexandria database.

Computed properties:
Distance to the lowest polymorph of the same formula = 0.309 eV per atom
Total energy = -3.315 eV per atom
Space-group type = P2/m
Magnetization = 0.0 μB per cell

Cell lengths 6.910, 5.264, 3.175 Å; angles 90.00, 90.00, 40.54 degrees
Fractional positions:
Li: 0.500 0.500 0.000
Dy: 0.000 0.500 0.000
Al: 0.000 0.000 0.500

Record 9
First-principles (PBE-GGA) data for an optimized crystal structure of LiDy3Al, as listed in the Alexandria database.

Computed properties:
Distance to the lowest polymorph of the same formula = 0.068 eV per atom
Total energy = -3.968 eV per atom
Space-group type = P2_1/c
Magnetization = 0.0 μB per cell

Cell lengths 6.693, 8.148, 10.142 Å; angles 71.78, 90.00, 90.00 degrees
Fractional positions:
Li: 0.250 0.020 0.495
Li: 0.750 0.980 0.505
Li: 0.750 0.980 0.005
Li: 0.250 0.020 0.995
Dy: 0.993 0.772 0.306
Dy: 0.007 0.228 0.694
Dy: 0.493 0.228 0.194
Dy: 0.507 0.772 0.806
Dy: 0.507 0.771 0.307
Dy: 0.493 0.229 0.693
Dy: 0.007 0.229 0.193
Dy: 0.993 0.771 0.807
Dy: 0.250 0.599 0.600
Dy: 0.750 0.401 0.400
Dy: 0.750 0.401 0.900
Dy: 0.250 0.599 0.100
Al: 0.750 0.611 0.097
Al: 0.250 0.389 0.903
Al: 0.250 0.389 0.403
Al: 0.750 0.611 0.597

Record 10
First-principles (PBE-GGA) data for an optimized crystal structure of LiDyAl2, as listed in the Alexandria database.

Computed properties:
Distance to the lowest polymorph of the same formula = 0.024 eV per atom
Total energy = -3.738 eV per atom
Space-group type = Fm-3m
Magnetization = 0.0 μB per cell

Cell lengths 4.856, 4.856, 4.856 Å; angles 60.00, 60.00, 60.00 degrees
Fractional positions:
Li: 0.500 0.500 0.500
Al: 0.250 0.250 0.250
Al: 0.750 0.750 0.750
Dy: 0.000 0.000 0.000

Record 11
First-principles (PBE-GGA) data for an optimized crystal structure of LiDyAl2, as listed in the Alexandria database.

Computed properties:
Distance to the lowest polymorph of the same formula = 0.000 eV per atom
Total energy = -3.763 eV per atom
Space-group type = P4/mmm
Magnetization = 0.0 μB per cell

Cell lengths 3.357, 3.357, 6.961 Å; angles 90.00, 90.00, 90.00 degrees
Fractional positions:
Li: 0.500 0.500 0.000
Al: 0.000 0.000 0.798
Al: 0.000 0.000 0.202
Dy: 0.500 0.500 0.500

Record 12
First-principles (PBE-GGA) data for an optimized crystal structure of LiDyLuAl, as listed in the Alexandria database.

Computed properties:
Total energy = -3.901 eV per atom
Space-group type = F-43m
Magnetization = 0.0 μB per cell

Cell lengths 5.096, 5.096, 5.096 Å; angles 60.00, 60.00, 60.00 degrees
Fractional positions:
Lu: 0.250 0.250 0.250
Li: 0.000 0.000 0.000
Al: 0.500 0.500 0.500
Dy: 0.750 0.750 0.750

Record 13
First-principles (PBE-GGA) data for an optimized crystal structure of LiDyMgAl, as listed in the Alexandria database.

Computed properties:
Total energy = -3.169 eV per atom
Space-group type = F-43m
Magnetization = 0.0 μB per cell

Cell lengths 4.924, 4.924, 4.924 Å; angles 60.00, 60.00, 60.00 degrees
Fractional positions:
Mg: 0.000 0.000 0.000
Li: 0.250 0.250 0.250
Al: 0.750 0.750 0.750
Dy: 0.500 0.500 0.500

Record 14
First-principles (PBE-GGA) data for an optimized crystal structure of LiDyMnAl, as listed in the Alexandria database.

Computed properties:
Total energy = -4.899 eV per atom
Space-group type = F-43m
Magnetization = 4.0 μB per cell

Cell lengths 4.711, 4.711, 4.711 Å; angles 60.00, 60.00, 60.00 degrees
Fractional positions:
Mn: 0.000 0.000 0.000
Li: 0.500 0.500 0.500
Al: 0.250 0.250 0.250
Dy: 0.750 0.750 0.750

Record 15
First-principles (PBE-GGA) data for an optimized crystal structure of LiDyAlNi, as listed in the Alexandria database.

Computed properties:
Total energy = -4.362 eV per atom
Space-group type = F-43m
Magnetization = 0.0 μB per cell

Cell lengths 4.553, 4.553, 4.553 Å; angles 60.00, 60.00, 60.00 degrees
Fractional positions:
Ni: 0.250 0.250 0.250
Li: 0.750 0.750 0.750
Al: 0.000 0.000 0.000
Dy: 0.500 0.500 0.500

Record 16
First-principles (PBE-GGA) data for an optimized crystal structure of Li3Dy2AlNi12, as listed in the Alexandria database.

Computed properties:
Total energy = -4.493 eV per atom
Space-group type = R-3m
Magnetization = 0.0 μB per cell

Cell lengths 7.197, 7.197, 7.197 Å; angles 61.00, 61.00, 61.00 degrees
Fractional positions:
Li: 0.500 0.000 0.000
Li: 0.000 0.500 0.000
Li: 0.000 0.000 0.500
Dy: 0.610 0.610 0.610
Dy: 0.390 0.390 0.390
Al: 0.000 0.000 0.000
Ni: 0.370 0.370 0.881
Ni: 0.858 0.858 0.394
Ni: 0.394 0.858 0.858
Ni: 0.881 0.370 0.370
Ni: 0.858 0.394 0.858
Ni: 0.370 0.881 0.370
Ni: 0.630 0.630 0.119
Ni: 0.142 0.142 0.606
Ni: 0.606 0.142 0.142
Ni: 0.119 0.630 0.630
Ni: 0.142 0.606 0.142
Ni: 0.630 0.119 0.630

Record 17
First-principles (PBE-GGA) data for an optimized crystal structure of Li2DyAlO4, as listed in the Alexandria database.

Computed properties:
Uncorrected formation energy = -21.0 eV/f.u.
Total energy = -6.627 eV per atom
Space-group type = P2/m
Magnetization = 0.0 μB per cell

Cell lengths 3.130, 5.423, 5.297 Å; angles 110.95, 90.00, 90.00 degrees
Fractional positions:
Li: 0.500 0.000 0.500
Li: 0.000 0.500 0.500
Dy: 0.500 0.500 0.000
Al: 0.000 0.000 0.000
O: 0.500 0.221 0.227
O: 0.500 0.779 0.773
O: 0.000 0.215 0.777
O: 0.000 0.785 0.223

Record 18
First-principles (PBE-GGA) data for an optimized crystal structure of LiDy2AlO5, as listed in the Alexandria database.

Computed properties:
Uncorrected formation energy = -25.7 eV/f.u.
Total energy = -7.264 eV per atom
Space-group type = P4/mbm
Magnetization = 0.0 μB per cell

Cell lengths 5.566, 6.399, 6.399 Å; angles 90.00, 90.00, 90.00 degrees
Fractional positions:
Li: 0.000 0.500 0.500
Li: 0.000 0.000 0.000
Dy: 0.500 0.679 0.179
Dy: 0.500 0.179 0.321
Dy: 0.500 0.821 0.679
Dy: 0.500 0.321 0.821
Al: 0.000 0.000 0.500
Al: 0.000 0.500 0.000
O: 0.500 0.500 0.500
O: 0.500 0.000 0.000
O: 0.235 0.137 0.637
O: 0.235 0.863 0.363
O: 0.235 0.363 0.137
O: 0.235 0.637 0.863
O: 0.765 0.137 0.637
O: 0.765 0.637 0.863
O: 0.765 0.863 0.363
O: 0.765 0.363 0.137

Record 19
First-principles (PBE-GGA) data for an optimized crystal structure of Li2DyAlPd4, as listed in the Alexandria database.

Computed properties:
Total energy = -4.845 eV per atom
Space-group type = R-3m
Magnetization = 0.0 μB per cell

Cell lengths 4.430, 4.430, 7.936 Å; angles 73.79, 73.79, 60.00 degrees
Fractional positions:
Li: 0.755 0.755 0.735
Li: 0.245 0.245 0.265
Dy: 0.000 0.000 0.000
Al: 0.500 0.500 0.500
Pd: 0.389 0.389 0.834
Pd: 0.870 0.870 0.391
Pd: 0.130 0.130 0.609
Pd: 0.611 0.611 0.166

Record 20
First-principles (PBE-GGA) data for an optimized crystal structure of LiPrDyAl, as listed in the Alexandria database.

Computed properties:
Total energy = -3.953 eV per atom
Space-group type = F-43m
Magnetization = 0.0 μB per cell

Cell lengths 5.252, 5.252, 5.252 Å; angles 60.00, 60.00, 60.00 degrees
Fractional positions:
Pr: 0.750 0.750 0.750
Li: 0.500 0.500 0.500
Al: 0.000 0.000 0.000
Dy: 0.250 0.250 0.250

Record 21
First-principles (PBE-GGA) data for an optimized crystal structure of LiDy2AlPt6, as listed in the Alexandria database.

Computed properties:
Total energy = -5.988 eV per atom
Space-group type = C2/m
Magnetization = 0.0 μB per cell

Cell lengths 5.571, 8.586, 8.594 Å; angles 37.84, 71.13, 90.04 degrees
Fractional positions:
Li: 0.000 0.000 0.000
Dy: 0.200 0.799 0.599
Dy: 0.800 0.201 0.401
Al: 0.500 0.500 0.000
Pt: 0.255 0.747 0.982
Pt: 0.763 0.747 0.982
Pt: 0.255 0.239 0.490
Pt: 0.745 0.253 0.018
Pt: 0.237 0.253 0.018
Pt: 0.745 0.761 0.510

Record 22
First-principles (PBE-GGA) data for an optimized crystal structure of LiDyAlPt2, as listed in the Alexandria database.

Computed properties:
Total energy = -5.460 eV per atom
Space-group type = I-4m2
Magnetization = 0.0 μB per cell

Cell lengths 3.801, 3.801, 6.776 Å; angles 106.29, 106.29, 90.00 degrees
Fractional positions:
Li: 0.250 0.750 0.500
Dy: 0.000 0.000 0.000
Al: 0.750 0.250 0.500
Pt: 0.612 0.612 0.223
Pt: 0.388 0.388 0.777

Record 23
First-principles (PBE-GGA) data for an optimized crystal structure of LiDyPuAl, as listed in the Alexandria database.

Computed properties:
Total energy = -6.151 eV per atom
Space-group type = F-43m
Magnetization = 6.2 μB per cell

Cell lengths 5.130, 5.130, 5.130 Å; angles 60.00, 60.00, 60.00 degrees
Fractional positions:
Dy: 0.000 0.000 0.000
Li: 0.750 0.750 0.750
Al: 0.250 0.250 0.250
Pu: 0.500 0.500 0.500

Record 24
First-principles (PBE-GGA) data for an optimized crystal structure of LiDyAlRh, as listed in the Alexandria database.

Computed properties:
Total energy = -4.975 eV per atom
Space-group type = F-43m
Magnetization = 0.0 μB per cell

Cell lengths 4.624, 4.624, 4.624 Å; angles 60.00, 60.00, 60.00 degrees
Fractional positions:
Li: 0.500 0.500 0.500
Rh: 0.000 0.000 0.000
Al: 0.250 0.250 0.250
Dy: 0.750 0.750 0.750

Record 25
First-principles (PBE-GGA) data for an optimized crystal structure of LiDyAlRu, as listed in the Alexandria database.

Computed properties:
Total energy = -5.216 eV per atom
Space-group type = F-43m
Magnetization = 0.0 μB per cell

Cell lengths 4.612, 4.612, 4.612 Å; angles 60.00, 60.00, 60.00 degrees
Fractional positions:
Ru: 0.750 0.750 0.750
Li: 0.250 0.250 0.250
Al: 0.000 0.000 0.000
Dy: 0.500 0.500 0.500

Record 26
First-principles (PBE-GGA) data for an optimized crystal structure of Li3Dy3AlS8, as listed in the Alexandria database.

Computed properties:
Uncorrected formation energy = -23.5 eV/f.u.
Total energy = -5.318 eV per atom
Space-group type = R-3m
Magnetization = 0.0 μB per cell

Cell lengths 7.715, 7.715, 7.522 Å; angles 120.87, 90.00, 120.00 degrees
Fractional positions:
Li: 0.000 0.000 0.000
Li: 0.000 0.500 0.000
Li: 0.500 0.500 0.000
Dy: 0.500 0.000 0.500
Dy: 0.500 0.500 0.500
Dy: 0.000 0.500 0.500
Al: 0.000 0.000 0.500
S: 0.248 0.497 0.245
S: 0.752 0.503 0.755
S: 0.770 0.540 0.265
S: 0.230 0.460 0.735
S: 0.770 0.995 0.265
S: 0.230 0.005 0.735
S: 0.225 0.995 0.265
S: 0.775 0.005 0.735